The following is a PBE with a Hubbard U calculation of a relaxed structure of CoOsRu2O, from Alexandria.

abc: 4.455 4.455 4.430
angles: 90.00 90.00 90.00
Space group P4/mmm (No. 123)
Symmetry-distinct sites (fractional):
Co: 0.000 0.000 0.000
Os: 0.000 0.000 0.500
Ru: 0.000 0.500 0.000
O: 0.500 0.500 0.500

* calculated density: 8.82 g cm⁻³
* total DFT energy (no corrections): -28.4 eV/f.u.